Entry 1:
Below is BaBi3Mo after structural relaxation, with properties calculated at the PBE level.

- Formation energy from the elements: 0.10 eV per atom

Unit cell a=5.5426 b=5.5426 c=5.5426 alpha=90.00 beta=90.00 gamma=90.00
Last column: nearest neighbours and their distance in Å.
Fractional positions:
Ba  0.0000  0.0000  0.0000  12 Bi 3.92
Bi  0.0000  0.5000  0.5000  2 Mo 2.77
Bi  0.5000  0.0000  0.5000  2 Mo 2.77
Bi  0.5000  0.5000  0.0000  2 Mo 2.77
Mo  0.5000  0.5000  0.5000  6 Bi 2.77

=====

Entry 2:
Below is BaBiMo3 after structural relaxation, with properties calculated at the PBE level.

- Formation energy from the elements: 2.84 eV per atom

Unit cell a=5.0712 b=5.0712 c=5.0712 alpha=90.00 beta=90.00 gamma=90.00
Last column: nearest neighbours and their distance in Å.
Fractional positions:
Ba  0.0000  0.0000  0.0000  6 Mo 2.54
Bi  0.5000  0.5000  0.5000  12 Mo 3.59
Mo  0.0000  0.0000  0.5000  2 Ba 2.54
Mo  0.0000  0.5000  0.0000  2 Ba 2.54
Mo  0.5000  0.0000  0.0000  2 Ba 2.54

=====

Number 2 is which compound? BaBiMo3